Version one
{"formula": "ScCuP2Cl", "functional": "PBE-GGA", "state": "optimized geometry", "lattice": [[5.020, 0.000, 0.000], [0.000, 5.020, 0.000], [0.000, 0.000, 4.855]], "species": ["Sc", "Cu", "P", "P", "Cl"], "frac_coords": [[0.000, 0.000, 0.000], [0.500, 0.500, 0.500], [0.000, 0.500, 0.000], [0.500, 0.000, 0.000], [0.000, 0.000, 0.500]], "spacegroup": "P4/mmm"}

***

Version two
{"formula": "ScCuP2Cl", "functional": "PBE-GGA", "state": "optimized geometry", "lattice": [[4.373, 0.000, 0.000], [0.000, 4.373, 0.000], [0.000, 0.000, 5.067]], "species": ["Sc", "Cu", "P", "P", "Cl"], "frac_coords": [[0.000, 0.000, 0.000], [0.500, 0.500, 0.500], [0.000, 0.500, 0.500], [0.500, 0.000, 0.500], [0.500, 0.500, 0.000]], "spacegroup": "P4/mmm"}

***

version two is preferred energetically. Next in line: 247 meV/atom higher.

***

Version one
{"formula": "ScCuPCl2", "functional": "PBE-GGA", "state": "optimized geometry", "lattice": [[4.478, 0.000, 0.000], [0.000, 4.478, 0.000], [0.000, 0.000, 5.030]], "species": ["Sc", "Cu", "P", "Cl", "Cl"], "frac_coords": [[0.000, 0.000, 0.000], [0.500, 0.500, 0.500], [0.500, 0.500, 0.000], [0.000, 0.500, 0.500], [0.500, 0.000, 0.500]], "spacegroup": "P4/mmm"}

***

Version two
{"formula": "ScCuPCl2", "functional": "PBE-GGA", "state": "optimized geometry", "lattice": [[4.804, 0.000, 0.000], [0.000, 4.804, 0.000], [0.000, 0.000, 5.427]], "species": ["Sc", "Cu", "P", "Cl", "Cl"], "frac_coords": [[0.000, 0.000, 0.000], [0.500, 0.500, 0.500], [0.000, 0.000, 0.500], [0.000, 0.500, 0.000], [0.500, 0.000, 0.000]], "spacegroup": "P4/mmm"}

***

version two is preferred energetically. Next in line: 137 meV/atom higher.

***

Version one
{"formula": "CuSnP2Cl", "functional": "PBE-GGA", "state": "optimized geometry", "lattice": [[5.090, 0.000, 0.000], [0.000, 5.090, 0.000], [0.000, 0.000, 5.142]], "species": ["Cu", "Sn", "P", "P", "Cl"], "frac_coords": [[0.000, 0.000, 0.000], [0.500, 0.500, 0.500], [0.000, 0.500, 0.500], [0.500, 0.000, 0.500], [0.500, 0.500, 0.000]], "spacegroup": "P4/mmm"}

***

Version two
{"formula": "CuSnP2Cl", "functional": "PBE-GGA", "state": "optimized geometry", "lattice": [[4.420, 0.000, 0.000], [0.000, 4.420, 0.000], [0.000, 0.000, 5.529]], "species": ["Cu", "Sn", "P", "P", "Cl"], "frac_coords": [[0.000, 0.000, 0.000], [0.500, 0.500, 0.500], [0.000, 0.500, 0.000], [0.500, 0.000, 0.000], [0.000, 0.000, 0.500]], "spacegroup": "P4/mmm"}

***

version two is preferred energetically. Next in line: 589 meV/atom higher.

***

Version one
{"formula": "SrCuP2Cl", "functional": "PBE-GGA", "state": "optimized geometry", "lattice": [[4.379, 0.000, 0.000], [0.000, 4.379, 0.000], [0.000, 0.000, 6.040]], "species": ["Sr", "Cu", "P", "P", "Cl"], "frac_coords": [[0.000, 0.000, 0.000], [0.500, 0.500, 0.500], [0.000, 0.500, 0.500], [0.500, 0.000, 0.500], [0.500, 0.500, 0.000]], "spacegroup": "P4/mmm"}

***

Version two
{"formula": "SrCuP2Cl", "functional": "PBE-GGA", "state": "optimized geometry", "lattice": [[6.015, 0.000, 0.000], [0.000, 6.015, 0.000], [0.000, 0.000, 5.427]], "species": ["Sr", "Cu", "P", "P", "Cl"], "frac_coords": [[0.000, 0.000, 0.000], [0.500, 0.500, 0.500], [0.000, 0.500, 0.000], [0.500, 0.000, 0.000], [0.000, 0.000, 0.500]], "spacegroup": "P4/mmm"}

***

version one is preferred energetically. Next in line: 1237 meV/atom higher.

***

Version one
{"formula": "CuTcP2Cl", "functional": "PBE-GGA", "state": "optimized geometry", "lattice": [[4.512, 0.000, 0.000], [0.000, 4.512, 0.000], [0.000, 0.000, 5.150]], "species": ["Cu", "Tc", "P", "P", "Cl"], "frac_coords": [[0.000, 0.000, 0.000], [0.500, 0.500, 0.500], [0.000, 0.500, 0.500], [0.500, 0.000, 0.500], [0.500, 0.500, 0.000]], "spacegroup": "P4/mmm"}

***

Version two
{"formula": "CuTcP2Cl", "functional": "PBE-GGA", "state": "optimized geometry", "lattice": [[4.477, 0.000, 0.000], [0.000, 4.477, 0.000], [0.000, 0.000, 4.709]], "species": ["Cu", "Tc", "P", "P", "Cl"], "frac_coords": [[0.000, 0.000, 0.000], [0.500, 0.500, 0.500], [0.000, 0.500, 0.000], [0.500, 0.000, 0.000], [0.000, 0.000, 0.500]], "spacegroup": "P4/mmm"}

***

version one is preferred energetically. Next in line: 480 meV/atom higher.

***

Version one
{"formula": "TlCuP2Cl", "functional": "PBE-GGA", "state": "optimized geometry", "lattice": [[5.185, 0.000, 0.000], [0.000, 5.185, 0.000], [0.000, 0.000, 5.413]], "species": ["Tl", "Cu", "P", "P", "Cl"], "frac_coords": [[0.000, 0.000, 0.000], [0.500, 0.500, 0.500], [0.000, 0.500, 0.000], [0.500, 0.000, 0.000], [0.000, 0.000, 0.500]], "spacegroup": "P4/mmm"}

***

Version two
{"formula": "TlCuP2Cl", "functional": "PBE-GGA", "state": "optimized geometry", "lattice": [[4.372, 0.000, 0.000], [0.000, 4.372, 0.000], [0.000, 0.000, 7.411]], "species": ["Tl", "Cu", "P", "P", "Cl"], "frac_coords": [[0.000, 0.000, 0.000], [0.500, 0.500, 0.500], [0.000, 0.500, 0.500], [0.500, 0.000, 0.500], [0.500, 0.500, 0.000]], "spacegroup": "P4/mmm"}

***

version two is preferred energetically. Next in line: 913 meV/atom higher.